Pm3Sb5Pd6 | PBE | relaxed

Unit cell a=4.460 b=13.455 c=10.202 alpha=90.00 beta=90.00 gamma=90.00
Space group Pmmn (No. 59, origin choice 2)
Asymmetric unit:
Pm1 0.250 0.075 0.245 (multiplicity 4)
Pm2 0.250 0.750 0.243 (multiplicity 2)
Sb1 0.250 0.087 0.861 (multiplicity 4)
Sb2 0.250 0.624 0.523 (multiplicity 4)
Sb3 0.250 0.750 0.827 (multiplicity 2)
Pd1 0.250 0.068 0.605 (multiplicity 4)
Pd2 0.250 0.250 0.017 (multiplicity 2)
Pd3 0.250 0.250 0.471 (multiplicity 2)
Pd4 0.250 0.589 0.991 (multiplicity 4)

Calculated values
DFT total energy ... -5.59 eV per atom

---

CsNa2PbCl8 | PBE | relaxed

Unit cell a=5.784 b=6.757 c=9.705 alpha=90.10 beta=90.29 gamma=91.92
Space group P-1 (No. 2)
Asymmetric unit:
Cs1 0.000 0.000 0.000 (multiplicity 1)
Na1 0.499 0.500 0.724 (multiplicity 2)
Pb1 0.000 0.000 0.500 (multiplicity 1)
Cl1 0.236 0.845 0.306 (multiplicity 2)
Cl2 0.240 0.848 0.695 (multiplicity 2)
Cl3 0.252 0.323 0.499 (multiplicity 2)
Cl4 0.258 0.495 0.000 (multiplicity 2)

Calculated values
DFT total energy ... -2.98 eV per atom

---

Y2TeAu | PBE | relaxed

Unit cell a=4.1611 b=4.1611 c=22.6558 alpha=90.00 beta=90.00 gamma=120.00
Space group R3m (No. 160, hexagonal axes)
Asymmetric unit:
Y1 0.0000 0.0000 0.0000 (multiplicity 3)
Y2 0.0000 0.0000 0.1822 (multiplicity 3)
Te1 0.0000 0.0000 0.7590 (multiplicity 3)
Au1 0.0000 0.0000 0.5900 (multiplicity 3)

Calculated values
DFT total energy ... -5.87 eV per atom

---

Sm4Tm10Th | PBE | relaxed

Unit cell a=11.112 b=11.112 c=7.979 alpha=90.00 beta=90.00 gamma=90.00
Space group I4/mmm (No. 139)
Asymmetric unit:
Sm1 0.225 0.225 0.000 (multiplicity 8)
Tm1 0.000 0.207 0.297 (multiplicity 16)
Tm2 0.000 0.500 0.250 (multiplicity 4)
Th1 0.000 0.000 0.000 (multiplicity 2)

Calculated values
Formation enthalpy at 0 K ... 0.259 eV per atom
DFT total energy ... -4.48 eV per atom

---

Nd3PtRh2 | PBE | relaxed

Unit cell a=11.860 b=4.202 c=11.704 alpha=90.00 beta=90.00 gamma=90.00
Space group Pnma (No. 62)
Asymmetric unit:
Nd1 0.049 0.250 0.123 (multiplicity 4)
Nd2 0.122 0.750 0.561 (multiplicity 4)
Nd3 0.210 0.250 0.812 (multiplicity 4)
Pt1 0.125 0.250 0.375 (multiplicity 4)
Rh1 0.002 0.250 0.701 (multiplicity 4)
Rh2 0.178 0.750 0.003 (multiplicity 4)

Calculated values
Formation enthalpy at 0 K ... -0.747 eV per atom
DFT total energy ... -6.59 eV per atom

---

Re3As | PBE | relaxed

Unit cell a=2.9378 b=2.9378 c=8.0492 alpha=90.00 beta=90.00 gamma=120.00
Space group P-6m2 (No. 187)
Asymmetric unit:
Re1 0.0000 0.0000 0.0000 (multiplicity 1)
Re2 0.6667 0.3333 0.2645 (multiplicity 2)
As1 0.0000 0.0000 0.5000 (multiplicity 1)

Calculated values
Formation enthalpy at 0 K ... 0.203 eV per atom
DFT total energy ... -10.30 eV per atom

---

TaBeCu | PBE | relaxed

Unit cell a=4.379 b=7.095 c=5.175 alpha=90.00 beta=90.00 gamma=90.00
Space group Cmcm (No. 63)
Asymmetric unit:
Ta1 0.000 0.148 0.250 (multiplicity 4)
Be1 0.000 0.500 0.000 (multiplicity 4)
Cu1 0.000 0.197 0.750 (multiplicity 4)

Calculated values
Formation enthalpy at 0 K ... 0.226 eV per atom
DFT total energy ... -6.33 eV per atom

---

Nb2FePt2 | PBE | relaxed

Unit cell a=6.883 b=6.883 c=3.544 alpha=90.00 beta=90.00 gamma=90.00
Space group P4/mbm (No. 127)
Asymmetric unit:
Nb1 0.174 0.326 0.000 (multiplicity 4)
Fe1 0.000 0.000 0.500 (multiplicity 2)
Pt1 0.135 0.635 0.500 (multiplicity 4)

Calculated values
Formation enthalpy at 0 K ... -0.093 eV per atom
DFT total energy ... -8.23 eV per atom

---

YB3Mo | PBE | relaxed

Unit cell a=4.159 b=4.159 c=4.159 alpha=90.00 beta=90.00 gamma=90.00
Space group Pm-3m (No. 221)
Asymmetric unit:
Y1 0.000 0.000 0.000 (multiplicity 1)
B1 0.000 0.500 0.500 (multiplicity 3)
Mo1 0.500 0.500 0.500 (multiplicity 1)

Calculated values
Formation enthalpy at 0 K ... 0.269 eV per atom
DFT total energy ... -7.20 eV per atom

---

Ba2YZr | PBE | relaxed

Unit cell a=12.649 b=3.699 c=6.395 alpha=90.00 beta=100.79 gamma=90.00
Space group C2/m (No. 12)
Asymmetric unit:
Ba1 0.239 0.000 0.240 (multiplicity 4)
Y1 0.000 0.000 0.500 (multiplicity 2)
Zr1 0.000 0.500 0.000 (multiplicity 2)

Calculated values
Formation enthalpy at 0 K ... 0.530 eV per atom
DFT total energy ... -4.18 eV per atom

---

Hf5Nb3H12 | PBE | relaxed

Unit cell a=11.573 b=11.573 c=11.573 alpha=90.00 beta=90.00 gamma=90.00
Space group Ia-3d (No. 230)
Asymmetric unit:
Hf1 0.000 0.000 0.000 (multiplicity 16)
Hf2 0.000 0.250 0.375 (multiplicity 24)
Nb1 0.000 0.250 0.125 (multiplicity 24)
H1 0.001 0.074 0.655 (multiplicity 96)

Calculated values
DFT total energy ... -6.32 eV per atom

---

MgSiOF2 | PBE | relaxed

Unit cell a=4.399 b=4.399 c=3.450 alpha=90.00 beta=90.00 gamma=90.00
Space group P4/mmm (No. 123)
Asymmetric unit:
Mg1 0.000 0.000 0.000 (multiplicity 1)
Si1 0.500 0.500 0.500 (multiplicity 1)
O1 0.500 0.500 0.000 (multiplicity 1)
F1 0.000 0.500 0.500 (multiplicity 2)

Calculated values
DFT total energy ... -4.73 eV per atom

---

Question: Which value of DFT total energy does entry 6 give?
Answer: -10.30 eV per atom

---

Question: What is the formula in the eleventh record?
Answer: Hf5Nb3H12